Entry 1:
DFT (PBE) results for ScNiBMo after structural relaxation.

Cell: 4.2048 4.2048 4.2048 Å, 60.00 60.00 60.00°
With the nearest neighbours (Å) after each atom.
Atoms (fractional coordinates):
B  0.0000  0.0000  0.0000  4 Mo 2.57, 4 Sc 2.57
Sc  0.7500  0.7500  0.7500  4 Ni 2.57, 4 B 2.57
Mo  0.2500  0.2500  0.2500  4 Ni 2.57, 4 B 2.57
Ni  0.5000  0.5000  0.5000  4 Sc 2.57, 4 Mo 2.57

Summary:
Polymorph energy (0 for the lowest one)   0.000 eV per formula unit
Space-group type   No. 216
Total magnetic moment   0.237 μB/atom


Entry 2:
DFT (PBE) results for ScNiBMo after structural relaxation.

Cell: 4.1583 4.1583 4.1583 Å, 60.00 60.00 60.00°
With the nearest neighbours (Å) after each atom.
Atoms (fractional coordinates):
Ni  0.7500  0.7500  0.7500  4 B 2.55, 4 Sc 2.55
Sc  0.5000  0.5000  0.5000  4 Ni 2.55, 4 Mo 2.55
Mo  0.2500  0.2500  0.2500  4 Sc 2.55, 4 B 2.55
B  0.0000  0.0000  0.0000  4 Ni 2.55, 4 Mo 2.55

Summary:
Polymorph energy (0 for the lowest one)   1.345 eV per formula unit
Space-group type   No. 216
Total magnetic moment   0.005 μB/atom